Compound: KW3O9
Source: Alexandria
Functional: PBE+U
Structure: optimized geometry

## Properties
E above lowest polymorph = 6 meV per atom
DOS at the Fermi energy = 2.342 states/eV/cell

The structure in CIF format:
```
data_KW3O9
_chemical_formula_sum 'K5 W15 O45'
_symmetry_space_group_name_H-M 'P 1 2 1'
_symmetry_Int_Tables_number 3
_symmetry_space_group_name_Hall 'P 2y'
_cell_length_a 7.524
_cell_length_b 3.879
_cell_length_c 32.802
_cell_angle_alpha 90.00
_cell_angle_beta 96.54
_cell_angle_gamma 90.00
loop_
_atom_site_label
_atom_site_fract_x
_atom_site_fract_y
_atom_site_fract_z
K1 0.000 0.000 0.000
K2 0.144 0.889 0.404
K3 0.338 0.891 0.796
W1 0.000 0.389 0.500
W2 0.095 0.389 0.699
W3 0.103 0.390 0.200
W4 0.200 0.391 0.900
W5 0.300 0.391 0.100
W6 0.303 0.389 0.600
W7 0.404 0.389 0.299
W8 0.500 0.389 0.500
W9 0.500 0.391 0.000
O1 0.000 0.889 0.500
O2 0.042 0.389 0.084
O3 0.063 0.390 0.758
O4 0.091 0.389 0.558
O5 0.096 0.889 0.700
O6 0.098 0.890 0.200
O7 0.108 0.390 0.842
O8 0.130 0.389 0.642
O9 0.162 0.389 0.315
O10 0.199 0.890 0.899
O11 0.242 0.389 0.484
O12 0.260 0.390 0.157
O13 0.293 0.389 0.957
O14 0.294 0.889 0.600
O15 0.300 0.890 0.100
O16 0.306 0.389 0.241
O17 0.334 0.389 0.042
O18 0.353 0.389 0.716
O19 0.404 0.889 0.299
O20 0.443 0.391 0.884
O21 0.460 0.389 0.558
O22 0.499 0.389 0.642
O23 0.500 0.889 0.500
O24 0.500 0.890 0.000
```